# 1
The following is a meta-GGA SCAN calculation of a PBEsol-optimized structure of YTa2Mn, from Alexandria.

DOS(E_F): 3.3 states/eV per cell
SG: Pm (6)
Energy relative to the elements: 0.36 eV per atom

Cell lengths 3.047, 4.060, 6.280 Å; angles 90.00, 101.69, 90.00 degrees
Fractional coordinates of all 4 atoms:
Mn1 0.545 0.500 0.817
Y1 0.084 0.000 0.522
Ta1 0.916 0.000 0.975
Ta2 0.455 0.500 0.186

---

# 2
The following is a meta-GGA SCAN calculation of a PBEsol-optimized structure of LaCdOs2, from Alexandria.

DOS(E_F): 3.8 states/eV per cell
SG: P4/mmm (123)
Energy relative to the elements: 0.84 eV per atom

Cell lengths 2.906, 2.906, 8.678 Å; angles 90.00, 90.00, 90.00 degrees
Each line ends with the local moment (μB).
Fractional coordinates of all 4 atoms:
La1 0.500 0.500 0.500  -0.01
Os1 0.000 0.000 0.228  0.93
Os2 0.000 0.000 0.772  0.93
Cd1 0.500 0.500 0.000  0.01

---

# 3
The following is a meta-GGA SCAN calculation of a PBEsol-optimized structure of NaGa2Ge2, from Alexandria.

DOS(E_F): 1.1 states/eV per cell
SG: I4/mmm (139)
Energy relative to the elements: -0.08 eV per atom

Cell lengths 4.542, 4.542, 5.954 Å; angles 112.42, 112.42, 90.00 degrees
Fractional coordinates of all 5 atoms:
Ge1 0.624 0.624 0.248
Ge2 0.376 0.376 0.752
Ga1 0.750 0.250 0.500
Ga2 0.250 0.750 0.500
Na1 0.000 0.000 0.000

---

# 4
The following is a meta-GGA SCAN calculation of a PBEsol-optimized structure of LiTa2Al, from Alexandria.

DOS(E_F): 3.2 states/eV per cell
SG: I-4m2 (119)
Energy relative to the elements: 0.16 eV per atom

Cell lengths 3.883, 3.883, 5.046 Å; angles 112.63, 112.63, 90.00 degrees
Fractional coordinates of all 4 atoms:
Li1 0.250 0.750 0.500
Ta1 0.750 0.250 0.500
Ta2 0.000 0.000 0.000
Al1 0.500 0.500 0.000